Material: Mg5Cd6In
Method: DFT, PBE
State: relaxed

Summary:
Its density of states at the Fermi level is 3.284 states/eV/f.u. For the energy above the lowest structure with this stoichiometry, the calculation gives 0.07 kcal/mol of atoms. The formation energy comes out at -0.078 eV per atom.

```
data_Mg5Cd6In
_cell_length_a 8.331
_cell_length_b 8.331
_cell_length_c 4.554
_cell_angle_alpha 104.53
_cell_angle_beta 104.53
_cell_angle_gamma 61.72
_symmetry_space_group_name_H-M 'P 1'
_symmetry_Int_Tables_number 1
loop_
_symmetry_equiv_pos_as_xyz
'x,y,z'
loop_
_atom_site_label
_atom_site_fract_x
_atom_site_fract_y
_atom_site_fract_z
_atom_site_occupancy
Mg1 0.000 0.000 0.000 1
Mg2 0.170 0.170 0.672 1
Mg3 0.339 0.339 0.339 1
Mg4 0.661 0.661 0.661 1
Mg5 0.830 0.830 0.328 1
Cd1 0.074 0.587 0.830 1
Cd2 0.238 0.762 0.500 1
Cd3 0.413 0.926 0.170 1
Cd4 0.587 0.074 0.830 1
Cd5 0.762 0.238 0.500 1
Cd6 0.926 0.413 0.170 1
In1 0.500 0.500 0.000 1
```